# 1
Compound: SrTa2Re
Source: Alexandria
Functional: PBE-GGA
Structure: relaxed

Summary:
DOS(E_F)	2.48	states/eV per cell
ΔE_f	0.766	eV/atom
density	12.5	Mg/m³
symmetry	Imm2 (44)

a = 6.022 Å, b = 6.022 Å, c = 6.022 Å
α = 148.17°, β = 132.33°, γ = 58.47°
Atoms (fractional coordinates):
Sr: 0.000 0.000 0.000
Ta: 0.279 0.779 0.500
Ta: 0.571 0.571 0.000
Re: 0.751 0.251 0.500



# 2
Compound: UAl2ZnPt4
Source: Alexandria
Functional: PBE-GGA
Structure: relaxed

Summary:
DOS(E_F)	4.84	states/eV per cell
ΔE_f	-0.800	eV/atom
density	14.0	Mg/m³
symmetry	R-3m (166)

a = 8.858 Å, b = 8.858 Å, c = 8.858 Å
α = 27.98°, β = 27.98°, γ = 27.98°
Atoms (fractional coordinates):
U: 0.000 0.000 0.000
Al: 0.240 0.240 0.240
Al: 0.760 0.760 0.760
Zn: 0.500 0.500 0.500
Pt: 0.131 0.131 0.131
Pt: 0.397 0.397 0.397
Pt: 0.603 0.603 0.603
Pt: 0.869 0.869 0.869